The following is a GGA-PBE calculation of crystalline Y2BiB at its relaxed geometry, from the Alexandria database.

Unit cell a=7.641 b=7.641 c=6.406 alpha=53.39 beta=53.39 gamma=90.00
Site moments in Bohr magnetons follow the coordinates.
Sites, in units of the cell vectors:
Y 0.557 0.125 0.250  0.03
Y 0.193 0.625 0.250  0.03
Y 0.375 0.443 0.750  0.03
Y 0.875 0.807 0.750  0.02
B 0.500 0.500 0.000  0.07
B 0.250 0.750 0.500  0.08
Bi 0.000 0.000 0.000  0.02
Bi 0.750 0.250 0.500  0.02

Summary:
Total magnetization in μB per formula unit: 0.229
Calculated total energy in eV/cell: -47.9
Formation energy in eV per atom: -0.121
Relative energy among the computed polymorphs in eV/f.u.: 0.000
DOS at the Fermi energy in states/eV per cell: 7.399